1.
{"formula": "TbCeIn", "functional": "GGA-PBE", "state": "relaxed", "lattice_angstrom": [[2.6849, 2.6664, 0.6350], [-2.6849, 2.6664, 0.6350], [0.0000, 2.3269, 12.1940]], "species": ["Ce", "Ce", "Tb", "Tb", "In", "In"], "frac_coords": [[0.3542, 0.3542, 0.4371], [0.6458, 0.6458, 0.5629], [0.3430, 0.3430, 0.9006], [0.6570, 0.6570, 0.0994], [0.9894, 0.9894, 0.7370], [0.0106, 0.0106, 0.2630]], "e_above_lowest_polymorph_mev_per_atom": 0, "space_group": "C2/m, No. 12", "m_tot_mub_per_cell": 0.01, "e_tot_ev_per_cell": -28.2}


2.
{"formula": "TbCeIn", "functional": "GGA-PBE", "state": "relaxed", "lattice_angstrom": [[5.1715, 0.0000, 0.0000], [2.5858, 4.3996, -0.8108], [2.5858, -0.1030, 7.6221]], "species": ["Tb", "Tb", "In", "In", "Ce", "Ce"], "frac_coords": [[0.4960, 0.0916, 0.9164], [0.6048, 0.5379, 0.2525], [0.0340, 0.8231, 0.1089], [0.3001, 0.6900, 0.7098], [0.7538, 0.9632, 0.5291], [0.0946, 0.2930, 0.5179]], "e_above_lowest_polymorph_mev_per_atom": 141, "space_group": "Cm, No. 8", "m_tot_mub_per_cell": 1.47, "e_tot_ev_per_cell": -27.3}


3.
{"formula": "Tb6CeIn3", "functional": "GGA-PBE", "state": "relaxed", "lattice_angstrom": [[5.1722, 0.0000, 0.0000], [0.0000, 9.7704, -2.2959], [0.0000, 0.7281, 11.1993]], "species": ["Tb", "Tb", "Tb", "Tb", "Tb", "Tb", "Tb", "Tb", "Tb", "Tb", "Tb", "Tb", "In", "In", "In", "In", "In", "In", "Ce", "Ce"], "frac_coords": [[0.2500, 0.1394, 0.2217], [0.7500, 0.9339, 0.0945], [0.2500, 0.4524, 0.0970], [0.7500, 0.3581, 0.3082], [0.2500, 0.8234, 0.2858], [0.7500, 0.1766, 0.7142], [0.2500, 0.6419, 0.6918], [0.2500, 0.2704, 0.5164], [0.7500, 0.7296, 0.4836], [0.7500, 0.5476, 0.9030], [0.2500, 0.0661, 0.9055], [0.7500, 0.8606, 0.7783], [0.7500, 0.6438, 0.1934], [0.2500, 0.3562, 0.8066], [0.7500, 0.2434, 0.0216], [0.2500, 0.7566, 0.9784], [0.2500, 0.5428, 0.3930], [0.7500, 0.4572, 0.6070], [0.7500, 0.0445, 0.4081], [0.2500, 0.9555, 0.5919]], "e_above_lowest_polymorph_mev_per_atom": 0, "space_group": "P2_1/m, No. 11", "m_tot_mub_per_cell": 1.25, "e_tot_ev_per_cell": -89.0}


Question: Number 2 is which compound?
Answer: TbCeIn


Repeat the first record exactly.
{"formula": "TbCeIn", "functional": "GGA-PBE", "state": "relaxed", "lattice_angstrom": [[2.6849, 2.6664, 0.6350], [-2.6849, 2.6664, 0.6350], [0.0000, 2.3269, 12.1940]], "species": ["Ce", "Ce", "Tb", "Tb", "In", "In"], "frac_coords": [[0.3542, 0.3542, 0.4371], [0.6458, 0.6458, 0.5629], [0.3430, 0.3430, 0.9006], [0.6570, 0.6570, 0.0994], [0.9894, 0.9894, 0.7370], [0.0106, 0.0106, 0.2630]], "e_above_lowest_polymorph_mev_per_atom": 0, "space_group": "C2/m, No. 12", "m_tot_mub_per_cell": 0.01, "e_tot_ev_per_cell": -28.2}


Repeat the second record exactly.
{"formula": "TbCeIn", "functional": "GGA-PBE", "state": "relaxed", "lattice_angstrom": [[5.1715, 0.0000, 0.0000], [2.5858, 4.3996, -0.8108], [2.5858, -0.1030, 7.6221]], "species": ["Tb", "Tb", "In", "In", "Ce", "Ce"], "frac_coords": [[0.4960, 0.0916, 0.9164], [0.6048, 0.5379, 0.2525], [0.0340, 0.8231, 0.1089], [0.3001, 0.6900, 0.7098], [0.7538, 0.9632, 0.5291], [0.0946, 0.2930, 0.5179]], "e_above_lowest_polymorph_mev_per_atom": 141, "space_group": "Cm, No. 8", "m_tot_mub_per_cell": 1.47, "e_tot_ev_per_cell": -27.3}